[1]
Here is a relaxed structure of K2RbNa2 from Alexandria via LeMat-Bulk. Energies are from PBE-GGA.

Cell: 4.835 4.835 14.077 Å, 80.11 80.11 90.00°
Atoms (fractional coordinates):
Na 0.250 0.750 0.500
K 0.374 0.374 0.253
Rb 0.000 0.000 0.000
Na 0.750 0.250 0.500
K 0.626 0.626 0.747

Results
magnetic moment = 0.00 μB/cell
volume = 63.85 A^3/atom
calculated density = 1.09 Mg/m³
formation energy from the elements = 0.055 eV per atom
SG = No. 139

---

[2]
Here is a relaxed structure of KRb8Na4 from Alexandria via LeMat-Bulk. Energies are from PBE-GGA.

Cell: 8.235 11.423 11.423 Å, 82.53 68.87 68.87°
Atoms (fractional coordinates):
Rb 0.337 0.663 0.663
Rb 0.289 0.211 0.211
Na 0.000 0.000 0.500
Rb 0.500 0.211 0.789
Rb 0.500 0.789 0.211
Na 0.500 0.500 0.000
Na 0.500 0.000 0.500
Rb 0.711 0.789 0.789
Rb 0.663 0.337 0.337
Na 0.000 0.500 0.000
Rb 0.000 0.337 0.663
K 0.000 0.000 0.000
Rb 0.000 0.663 0.337

Results
magnetic moment = 0.00 μB/cell
volume = 71.91 A^3/atom
calculated density = 1.45 Mg/m³
formation energy from the elements = 0.041 eV per atom
SG = No. 139

---

[3]
Here is a relaxed structure of KRb3Na from Alexandria via LeMat-Bulk. Energies are from PBE-GGA.

Cell: 6.472 8.647 15.197 Å, 102.74 89.46 68.30°
Atoms (fractional coordinates):
Rb 0.732 0.933 0.397
Rb 0.544 0.301 0.747
Rb 0.358 0.661 0.061
Na 0.682 0.021 0.125
K 0.002 0.392 0.534
Rb 0.458 0.487 0.321
Rb 0.084 0.215 0.987
Na 0.134 0.125 0.259
K 0.814 0.756 0.849
Rb 0.272 0.847 0.637

Results
magnetic moment = 0.00 μB/cell
volume = 76.68 A^3/atom
calculated density = 1.38 Mg/m³
formation energy from the elements = 0.028 eV per atom
SG = No. 1

---

[4]
Here is a relaxed structure of KRbNa from Alexandria via LeMat-Bulk. Energies are from PBE-GGA.

Cell: 6.807 6.807 6.807 Å, 60.00 60.00 60.00°
Atoms (fractional coordinates):
K 0.500 0.500 0.500
Na 0.250 0.250 0.250
Rb 0.000 0.000 0.000

Results
magnetic moment = 0.00 μB/cell
volume = 74.34 A^3/atom
calculated density = 1.10 Mg/m³
formation energy from the elements = 0.094 eV per atom
SG = No. 216

---

[5]
Here is a relaxed structure of KRb12Na2 from Alexandria via LeMat-Bulk. Energies are from PBE-GGA.

Cell: 8.994 8.994 35.420 Å, 90.00 90.00 90.00°
Atoms (fractional coordinates):
Rb 0.750 0.250 0.898
Rb 0.750 0.750 0.102
Rb 0.320 0.820 0.438
Rb 0.000 0.000 0.333
K 0.000 0.500 0.000
Rb 0.500 0.500 0.667
Rb 0.180 0.320 0.438
Rb 0.680 0.820 0.562
Na 0.000 0.500 0.804
Na 0.500 0.000 0.804
Rb 0.500 0.500 0.333
Rb 0.250 0.250 0.898
Na 0.500 0.000 0.196
Rb 0.500 0.500 0.207
Rb 0.320 0.180 0.562
Rb 0.680 0.180 0.438
Rb 0.180 0.680 0.562
Rb 0.250 0.750 0.898
Rb 0.820 0.320 0.562
Rb 0.820 0.680 0.438
Rb 0.000 0.000 0.793
Rb 0.250 0.750 0.102
Rb 0.000 0.000 0.207
Rb 0.750 0.250 0.102
Rb 0.250 0.250 0.102
Rb 0.000 0.000 0.667
Rb 0.500 0.500 0.793
Na 0.000 0.500 0.196
Rb 0.750 0.750 0.898
K 0.500 0.000 0.000

Results
magnetic moment = 0.00 μB/cell
volume = 95.50 A^3/atom
calculated density = 1.29 Mg/m³
formation energy from the elements = 0.111 eV per atom
SG = No. 125

---

[6]
Here is a relaxed structure of K7Rb12Na from Alexandria via LeMat-Bulk. Energies are from PBE-GGA.

Cell: 15.459 15.459 15.459 Å, 116.71 116.71 116.71°
Atoms (fractional coordinates):
Rb 0.929 0.544 0.107
Rb 0.889 0.558 0.527
K 0.934 0.675 0.890
Rb 0.071 0.456 0.893
Rb 0.111 0.442 0.473
K 0.325 0.110 0.066
K 0.890 0.934 0.675
Rb 0.442 0.473 0.111
K 0.110 0.066 0.325
Rb 0.473 0.111 0.442
Rb 0.527 0.889 0.558
Rb 0.558 0.527 0.889
K 0.066 0.325 0.110
K 0.675 0.890 0.934
Na 0.000 0.000 0.000
K 0.500 0.500 0.500
Rb 0.893 0.071 0.456
Rb 0.456 0.893 0.071
Rb 0.107 0.929 0.544
Rb 0.544 0.107 0.929

Results
magnetic moment = 0.00 μB/cell
volume = 85.09 A^3/atom
calculated density = 1.29 Mg/m³
formation energy from the elements = 0.040 eV per atom
SG = No. 148

---

[7]
Here is a relaxed structure of K8RbNa6 from Alexandria via LeMat-Bulk. Energies are from PBE-GGA.

Cell: 10.540 10.540 10.540 Å, 65.87 65.87 65.87°
Atoms (fractional coordinates):
K 0.718 0.718 0.718
K 0.282 0.282 0.282
K 0.587 0.857 0.186
Na 0.384 0.668 0.063
Na 0.332 0.937 0.616
Na 0.063 0.384 0.668
Na 0.937 0.616 0.332
K 0.143 0.814 0.413
K 0.857 0.186 0.587
K 0.413 0.143 0.814
K 0.186 0.587 0.857
Rb 0.000 0.000 0.000
K 0.814 0.413 0.143
Na 0.616 0.332 0.937
Na 0.668 0.063 0.384

Results
magnetic moment = 0.00 μB/cell
volume = 62.22 A^3/atom
calculated density = 0.95 Mg/m³
formation energy from the elements = 0.055 eV per atom
SG = No. 148

---

[8]
Here is a relaxed structure of K6RbNa10 from Alexandria via LeMat-Bulk. Energies are from PBE-GGA.

Cell: 8.283 11.167 11.167 Å, 120.00 90.00 90.00°
Atoms (fractional coordinates):
K 0.312 0.365 0.000
Na 0.500 0.333 0.667
K 0.688 0.000 0.635
Na 0.145 0.696 0.000
Na 0.855 0.000 0.304
Na 0.855 0.304 0.000
Na 0.855 0.696 0.696
Na 0.000 0.667 0.333
K 0.312 0.000 0.365
Na 0.145 0.000 0.696
K 0.688 0.635 0.000
Na 0.000 0.333 0.667
Na 0.145 0.304 0.304
Na 0.500 0.667 0.333
K 0.312 0.635 0.635
K 0.688 0.365 0.365
Rb 0.500 0.000 0.000

Results
magnetic moment = 0.00 μB/cell
volume = 52.62 A^3/atom
calculated density = 1.02 Mg/m³
formation energy from the elements = 0.062 eV per atom
SG = No. 162

---

[9]
Here is a relaxed structure of K2Rb8Na from Alexandria via LeMat-Bulk. Energies are from PBE-GGA.

Cell: 5.119 12.794 14.404 Å, 103.90 100.24 90.00°
Atoms (fractional coordinates):
Rb 0.599 0.481 0.198
Rb 0.401 0.519 0.802
K 0.112 0.160 0.223
Rb 0.753 0.337 0.505
Na 0.500 0.000 0.000
Rb 0.247 0.663 0.495
Rb 0.964 0.249 0.928
Rb 0.677 0.916 0.355
Rb 0.323 0.084 0.645
K 0.888 0.840 0.777
Rb 0.036 0.751 0.072

Results
magnetic moment = 0.00 μB/cell
volume = 81.85 A^3/atom
calculated density = 1.45 Mg/m³
formation energy from the elements = 0.013 eV per atom
SG = No. 12

---

[10]
Here is a relaxed structure of K20Rb3Na6 from Alexandria via LeMat-Bulk. Energies are from PBE-GGA.

Cell: 14.147 14.147 14.147 Å, 60.00 60.00 60.00°
Atoms (fractional coordinates):
K 0.000 0.654 0.000
Rb 0.250 0.250 0.250
K 0.000 0.346 0.000
K 0.383 0.383 0.383
K 0.383 0.852 0.383
K 0.000 0.346 0.654
K 0.617 0.617 0.148
K 0.383 0.383 0.852
K 0.654 0.346 0.000
Na 0.734 0.734 0.266
Na 0.266 0.266 0.734
Na 0.266 0.734 0.266
K 0.346 0.000 0.654
K 0.000 0.000 0.654
K 0.852 0.383 0.383
Rb 0.750 0.750 0.750
Na 0.734 0.266 0.734
K 0.000 0.000 0.346
Na 0.266 0.734 0.734
K 0.617 0.617 0.617
Na 0.734 0.266 0.266
K 0.654 0.000 0.000
Rb 0.000 0.000 0.000
K 0.148 0.617 0.617
K 0.617 0.148 0.617
K 0.000 0.654 0.346
K 0.654 0.000 0.346
K 0.346 0.000 0.000
K 0.346 0.654 0.000

Results
magnetic moment = 0.00 μB/cell
volume = 69.04 A^3/atom
calculated density = 0.98 Mg/m³
formation energy from the elements = 0.030 eV per atom
SG = No. 225

---

[11]
Here is a relaxed structure of KRb4Na from Alexandria via LeMat-Bulk. Energies are from PBE-GGA.

Cell: 8.894 8.894 8.894 Å, 60.00 60.00 60.00°
Atoms (fractional coordinates):
Rb 0.625 0.124 0.625
Rb 0.124 0.625 0.625
Na 0.000 0.000 0.000
Rb 0.625 0.625 0.625
Rb 0.625 0.625 0.124
K 0.250 0.250 0.250

Results
magnetic moment = 0.00 μB/cell
volume = 82.92 A^3/atom
calculated density = 1.35 Mg/m³
formation energy from the elements = 0.107 eV per atom
SG = No. 216

---

[12]
Here is a relaxed structure of K5Rb2Na5 from Alexandria via LeMat-Bulk. Energies are from PBE-GGA.

Cell: 6.771 8.315 14.422 Å, 75.83 76.42 65.97°
Atoms (fractional coordinates):
Na 0.000 0.000 0.000
K 0.655 0.679 0.011
K 0.393 0.952 0.263
K 0.500 0.500 0.500
K 0.345 0.321 0.989
Na 0.776 0.232 0.217
Na 0.224 0.768 0.783
Rb 0.087 0.551 0.275
Na 0.799 0.940 0.461
Rb 0.913 0.449 0.725
Na 0.201 0.060 0.539
K 0.607 0.048 0.737

Results
magnetic moment = 0.00 μB/cell
volume = 59.22 A^3/atom
calculated density = 1.12 Mg/m³
formation energy from the elements = 0.031 eV per atom
SG = No. 12

---

[13]
Here is a relaxed structure of K2Rb17Na2 from Alexandria via LeMat-Bulk. Energies are from PBE-GGA.

Cell: 12.011 13.008 13.008 Å, 75.05 83.24 83.24°
Atoms (fractional coordinates):
Rb 0.257 0.039 0.728
Rb 0.795 0.313 0.313
Rb 0.653 0.651 0.170
Rb 0.000 0.500 0.000
K 0.633 0.729 0.729
Rb 0.743 0.961 0.272
Rb 0.257 0.728 0.039
Rb 0.347 0.349 0.830
Rb 0.102 0.100 0.100
Rb 0.653 0.170 0.651
Rb 0.743 0.272 0.961
Rb 0.000 0.000 0.500
Rb 0.205 0.687 0.687
Rb 0.347 0.830 0.349
Rb 0.000 0.352 0.648
Na 0.500 0.500 0.000
Na 0.500 0.000 0.500
K 0.367 0.271 0.271
Rb 0.500 0.000 0.000
Rb 0.898 0.900 0.900
Rb 0.000 0.648 0.352

Results
magnetic moment = 0.00 μB/cell
volume = 92.47 A^3/atom
calculated density = 1.35 Mg/m³
formation energy from the elements = 0.071 eV per atom
SG = No. 12

---

[14]
Here is a relaxed structure of KRb2Na5 from Alexandria via LeMat-Bulk. Energies are from PBE-GGA.

Cell: 9.092 9.094 8.240 Å, 123.15 123.48 90.00°
Atoms (fractional coordinates):
Na 0.269 0.682 0.951
Na 0.757 0.756 0.514
Rb 0.231 0.732 0.461
K 0.153 0.154 0.306
Na 0.683 0.271 0.955
Na 0.272 0.271 0.955
Rb 0.731 0.229 0.461
Na 0.682 0.682 0.951

Results
magnetic moment = 0.00 μB/cell
volume = 53.63 A^3/atom
calculated density = 1.26 Mg/m³
formation energy from the elements = 0.049 eV per atom
SG = No. 8

---

[15]
Here is a relaxed structure of K10RbNa4 from Alexandria via LeMat-Bulk. Energies are from PBE-GGA.

Cell: 9.455 11.728 11.728 Å, 80.65 66.23 66.23°
Atoms (fractional coordinates):
K 0.520 0.111 0.322
K 0.842 0.678 0.111
Na 0.402 0.799 0.398
K 0.953 0.889 0.678
K 0.369 0.678 0.111
K 0.480 0.889 0.678
K 0.250 0.500 0.500
Na 0.799 0.602 0.799
Na 0.201 0.398 0.201
K 0.158 0.322 0.889
Na 0.598 0.201 0.602
Rb 0.000 0.000 0.000
K 0.047 0.111 0.322
K 0.631 0.322 0.889
K 0.750 0.500 0.500

Results
magnetic moment = 0.00 μB/cell
volume = 72.61 A^3/atom
calculated density = 0.87 Mg/m³
formation energy from the elements = 0.105 eV per atom
SG = No. 87

---

[16]
Here is a relaxed structure of K3RbNa5 from Alexandria via LeMat-Bulk. Energies are from PBE-GGA.

Cell: 8.237 8.237 16.785 Å, 81.50 81.50 66.14°
Atoms (fractional coordinates):
Na 0.429 0.852 0.327
Na 0.519 0.519 0.787
K 0.234 0.234 0.138
Na 0.291 0.291 0.898
Rb 0.909 0.909 0.263
Rb 0.091 0.091 0.737
K 0.654 0.654 0.554
Na 0.658 0.342 0.000
Na 0.481 0.481 0.213
Na 0.342 0.658 0.000
K 0.766 0.766 0.862
Na 0.709 0.709 0.102
K 0.346 0.346 0.446
K 0.000 0.000 0.500
K 0.000 0.000 0.000
Na 0.571 0.148 0.673
Na 0.148 0.571 0.673
Na 0.852 0.429 0.327

Results
magnetic moment = 0.00 μB/cell
volume = 56.96 A^3/atom
calculated density = 1.03 Mg/m³
formation energy from the elements = 0.096 eV per atom
SG = No. 12

---

[17]
Here is a relaxed structure of K5RbNa from Alexandria via LeMat-Bulk. Energies are from PBE-GGA.

Cell: 7.756 11.724 11.724 Å, 90.01 73.29 73.29°
Atoms (fractional coordinates):
K 0.250 0.235 0.765
K 0.481 0.833 0.644
K 0.379 0.684 0.012
Rb 0.750 0.412 0.588
K 0.981 0.644 0.833
Na 0.000 0.000 0.000
Rb 0.250 0.588 0.412
K 0.879 0.012 0.684
K 0.750 0.765 0.235
K 0.121 0.988 0.316
K 0.019 0.356 0.167
K 0.621 0.316 0.988
K 0.519 0.167 0.356
Na 0.500 0.000 0.000

Results
magnetic moment = 0.00 μB/cell
volume = 69.57 A^3/atom
calculated density = 1.04 Mg/m³
formation energy from the elements = 0.013 eV per atom
SG = No. 15

---

[18]
Here is a relaxed structure of K2Rb8Na from Alexandria via LeMat-Bulk. Energies are from PBE-GGA.

Cell: 7.106 10.317 12.979 Å, 100.91 105.89 90.00°
Atoms (fractional coordinates):
K 0.223 0.634 0.445
Rb 0.410 0.565 0.819
Rb 0.142 0.181 0.285
Na 0.500 0.000 0.000
Rb 0.327 0.092 0.654
Rb 0.590 0.435 0.181
Rb 0.039 0.746 0.078
K 0.777 0.366 0.555
Rb 0.858 0.819 0.715
Rb 0.961 0.254 0.922
Rb 0.673 0.908 0.346

Results
magnetic moment = 0.00 μB/cell
volume = 81.58 A^3/atom
calculated density = 1.45 Mg/m³
formation energy from the elements = 0.016 eV per atom
SG = No. 12

---

[19]
Here is a relaxed structure of K2Rb2Na from Alexandria via LeMat-Bulk. Energies are from PBE-GGA.

Cell: 10.435 10.435 7.072 Å, 90.00 90.00 90.00°
Atoms (fractional coordinates):
K 0.667 0.833 0.500
Na 0.500 0.500 0.000
K 0.333 0.167 0.500
Rb 0.649 0.149 0.000
K 0.833 0.333 0.500
Rb 0.851 0.649 0.000
Rb 0.351 0.851 0.000
K 0.167 0.667 0.500
Rb 0.149 0.351 0.000
Na 0.000 0.000 0.000

Results
magnetic moment = 0.00 μB/cell
volume = 77.02 A^3/atom
calculated density = 1.17 Mg/m³
formation energy from the elements = 0.088 eV per atom
SG = No. 127